Material: ZnMo2W
Method: DFT, PBE
State: relaxed

Fermi-level density of states, states/eV per cell: 1.8
Energy relative to the elements, eV/atom: 0.15

a b c (Å): 2.6820 4.4464 5.3415
angles (deg): 90.00 101.23 90.00
Space group P2/m (No. 10)
Inequivalent atoms, fractional coordinates:
1 Zn 0.0000 0.0000 0.0000 [1 per cell]
2 Mo 0.2598 0.5000 0.7499 [2 per cell]
3 W 0.5000 0.0000 0.5000 [1 per cell]